[1]
First-principles (PBE) data for a relaxed structure of ScTlS3, as listed in Alexandria.

Properties
- formation energy (no corrections) (eV per atom) = 0.21
- volume (Å³/atom) = 25.3

abc: 5.021 5.021 5.021
angles: 90.00 90.00 90.00
Element x y z (fractional)
1 Sc 0.500 0.500 0.500
2 Tl 0.000 0.000 0.000
3 S 0.000 0.500 0.000
4 S 0.000 0.000 0.500
5 S 0.500 0.000 0.000



[2]
First-principles (PBE) data for a relaxed structure of Sc3TlS, as listed in Alexandria.

Properties
- formation energy (no corrections) (eV per atom) = -0.84
- volume (Å³/atom) = 22.4

abc: 9.036 3.753 6.814
angles: 90.00 75.49 90.00
Element x y z (fractional)
1 Sc 0.581 0.102 0.693
2 Sc 0.289 0.602 0.068
3 Sc 0.589 0.102 0.180
4 Sc 0.865 0.602 0.837
5 Sc 0.297 0.602 0.556
6 Sc 0.014 0.102 0.411
7 S 0.303 0.102 0.311
8 S 0.575 0.602 0.937
9 Tl 0.766 0.602 0.376
10 Tl 0.112 0.102 0.873



[3]
First-principles (PBE) data for a relaxed structure of Sc2TlS, as listed in Alexandria.

Properties
- formation energy (no corrections) (eV per atom) = -1.09
- volume (Å³/atom) = 21.4

abc: 3.581 3.581 7.980
angles: 77.04 77.04 60.00
Element x y z (fractional)
1 Sc 0.063 0.063 0.810
2 Sc 0.270 0.270 0.191
3 Tl 0.500 0.500 0.501
4 S 0.667 0.667 0.998



[4]
First-principles (PBE) data for a relaxed structure of Sc2TlS, as listed in Alexandria.

Properties
- formation energy (no corrections) (eV per atom) = -1.12
- volume (Å³/atom) = 21.3

abc: 3.599 3.605 7.837
angles: 103.09 90.00 119.95
Element x y z (fractional)
1 Sc 0.270 0.039 0.306
2 Sc 0.730 0.961 0.694
3 Tl 0.500 0.500 0.000
4 S 0.000 0.500 0.500



[5]
First-principles (PBE) data for a relaxed structure of Sc4TlS3, as listed in Alexandria.

Properties
- formation energy (no corrections) (eV per atom) = -1.50
- volume (Å³/atom) = 19.6

abc: 3.648 3.648 27.196
angles: 90.00 90.00 120.00
Element x y z (fractional)
1 Sc 0.667 0.333 0.942
2 Sc 0.333 0.667 0.058
3 Sc 0.333 0.667 0.442
4 Sc 0.667 0.333 0.558
5 Sc 0.000 0.000 0.835
6 Sc 0.000 0.000 0.165
7 Sc 0.000 0.000 0.335
8 Sc 0.000 0.000 0.665
9 Tl 0.667 0.333 0.750
10 Tl 0.333 0.667 0.250
11 S 0.000 0.000 0.000
12 S 0.000 0.000 0.500
13 S 0.333 0.667 0.887
14 S 0.667 0.333 0.113
15 S 0.667 0.333 0.387
16 S 0.333 0.667 0.613



[6]
First-principles (PBE) data for a relaxed structure of Sc3TlS, as listed in Alexandria.

Properties
- formation energy (no corrections) (eV per atom) = -0.80
- volume (Å³/atom) = 22.0

abc: 6.519 7.298 5.009
angles: 90.00 112.51 90.00
Element x y z (fractional)
1 Sc 0.783 0.531 0.141
2 Sc 0.217 0.469 0.859
3 Sc 0.783 0.969 0.141
4 Sc 0.217 0.031 0.859
5 Sc 0.657 0.250 0.578
6 Sc 0.343 0.750 0.422
7 Tl 0.138 0.250 0.320
8 Tl 0.862 0.750 0.680
9 S 0.542 0.250 0.021
10 S 0.458 0.750 0.979



[7]
First-principles (PBE) data for a relaxed structure of Sc3TlS, as listed in Alexandria.

Properties
- formation energy (no corrections) (eV per atom) = -0.76
- volume (Å³/atom) = 22.8

abc: 12.469 8.215 8.215
angles: 98.24 129.25 50.75
Element x y z (fractional)
1 Sc 0.428 0.261 0.402
2 Sc 0.072 0.902 0.761
3 Sc 0.572 0.739 0.598
4 Sc 0.928 0.098 0.239
5 Sc 0.070 0.250 0.094
6 Sc 0.430 0.594 0.750
7 Sc 0.930 0.750 0.906
8 Sc 0.570 0.406 0.250
9 Sc 0.573 0.078 0.924
10 Sc 0.927 0.424 0.578
11 Sc 0.427 0.922 0.076
12 Sc 0.073 0.576 0.422
13 Tl 0.750 0.242 0.742
14 Tl 0.250 0.758 0.258
15 Tl 0.750 0.592 0.092
16 Tl 0.250 0.408 0.908
17 S 0.323 0.160 0.510
18 S 0.177 0.010 0.660
19 S 0.677 0.840 0.490
20 S 0.823 0.990 0.340



[8]
First-principles (PBE) data for a relaxed structure of Sc3TlS, as listed in Alexandria.

Properties
- formation energy (no corrections) (eV per atom) = -0.17
- volume (Å³/atom) = 26.6

abc: 4.540 4.540 14.888
angles: 90.00 90.00 120.00
Element x y z (fractional)
1 Sc 0.000 0.000 0.250
2 Sc 0.000 0.000 0.750
3 Sc 0.333 0.667 0.937
4 Sc 0.333 0.667 0.563
5 Sc 0.667 0.333 0.437
6 Sc 0.667 0.333 0.063
7 Tl 0.333 0.667 0.750
8 Tl 0.667 0.333 0.250
9 S 0.000 0.000 0.000
10 S 0.000 0.000 0.500



[9]
First-principles (PBE) data for a relaxed structure of Sc3TlS, as listed in Alexandria.

Properties
- formation energy (no corrections) (eV per atom) = -0.84
- volume (Å³/atom) = 21.9

abc: 7.836 3.599 8.299
angles: 102.52 84.05 76.72
Element x y z (fractional)
1 Sc 0.437 0.397 0.956
2 Sc 0.138 0.917 0.697
3 Sc 0.942 0.856 0.381
4 Sc 0.329 0.147 0.349
5 Sc 0.599 0.642 0.609
6 Sc 0.815 0.702 0.946
7 S 0.367 0.282 0.657
8 S 0.796 0.097 0.717
9 Tl 0.656 0.429 0.240
10 Tl 0.107 0.121 0.075



[10]
First-principles (PBE) data for a relaxed structure of Sc3TlS, as listed in Alexandria.

Properties
- formation energy (no corrections) (eV per atom) = -0.09
- volume (Å³/atom) = 25.2

abc: 7.578 7.578 4.690
angles: 90.00 90.00 110.53
Element x y z (fractional)
1 Sc 0.778 0.566 0.250
2 Sc 0.434 0.222 0.250
3 Sc 0.566 0.778 0.750
4 Sc 0.222 0.434 0.750
5 Sc 0.000 0.000 0.000
6 Sc 0.000 0.000 0.500
7 Tl 0.212 0.788 0.250
8 Tl 0.788 0.212 0.750
9 S 0.429 0.571 0.250
10 S 0.571 0.429 0.750



[11]
First-principles (PBE) data for a relaxed structure of Sc3TlS, as listed in Alexandria.

Properties
- formation energy (no corrections) (eV per atom) = -0.82
- volume (Å³/atom) = 22.4

abc: 12.178 8.648 8.648
angles: 81.13 124.36 55.64
Element x y z (fractional)
1 Sc 0.388 0.407 0.449
2 Sc 0.112 0.949 0.907
3 Sc 0.612 0.593 0.551
4 Sc 0.888 0.051 0.093
5 Sc 0.118 0.220 0.196
6 Sc 0.382 0.696 0.720
7 Sc 0.882 0.780 0.804
8 Sc 0.618 0.304 0.280
9 Sc 0.549 0.902 0.795
10 Sc 0.951 0.295 0.402
11 Sc 0.451 0.098 0.205
12 Sc 0.049 0.705 0.598
13 Tl 0.027 0.569 0.291
14 Tl 0.473 0.791 0.069
15 Tl 0.973 0.431 0.709
16 Tl 0.527 0.209 0.931
17 S 0.750 0.184 0.684
18 S 0.250 0.816 0.316
19 S 0.750 0.458 0.958
20 S 0.250 0.542 0.042



[12]
First-principles (PBE) data for a relaxed structure of ScTlS3, as listed in Alexandria.

Properties
- formation energy (no corrections) (eV per atom) = -0.95
- volume (Å³/atom) = 24.6

abc: 6.809 6.740 7.323
angles: 74.25 58.08 59.62
Element x y z (fractional)
1 Sc 0.325 0.351 0.999
2 Sc 0.675 0.649 0.001
3 Tl 0.822 0.996 0.328
4 Tl 0.178 0.004 0.672
5 S 0.760 0.367 0.769
6 S 0.121 0.640 0.774
7 S 0.510 0.001 0.753
8 S 0.240 0.633 0.231
9 S 0.879 0.360 0.226
10 S 0.490 0.999 0.247



[13]
First-principles (PBE) data for a relaxed structure of Sc3TlS, as listed in Alexandria.

Properties
- formation energy (no corrections) (eV per atom) = -0.32
- volume (Å³/atom) = 28.3

abc: 3.336 8.094 8.094
angles: 139.69 90.00 90.00
Element x y z (fractional)
1 Sc 0.500 0.487 0.008
2 Sc 0.500 0.992 0.513
3 Sc 0.000 0.589 0.411
4 Tl 0.500 0.418 0.582
5 S 0.000 0.142 0.858



[14]
First-principles (PBE) data for a relaxed structure of Sc3TlS, as listed in Alexandria.

Properties
- formation energy (no corrections) (eV per atom) = -0.85
- volume (Å³/atom) = 21.9

abc: 8.455 5.015 6.204
angles: 66.23 67.76 90.02
Element x y z (fractional)
1 Sc 0.664 0.972 0.484
2 Sc 0.214 0.732 0.965
3 Sc 0.517 0.221 0.987
4 Sc 0.793 0.710 0.009
5 Sc 0.361 0.483 0.461
6 Sc 0.085 0.994 0.440
7 S 0.370 0.976 0.476
8 S 0.508 0.728 0.973
9 Tl 0.870 0.459 0.510
10 Tl 0.008 0.244 0.939



[15]
First-principles (PBE) data for a relaxed structure of Sc2TlS, as listed in Alexandria.

Properties
- formation energy (no corrections) (eV per atom) = -0.48
- volume (Å³/atom) = 20.9

abc: 4.910 4.910 4.910
angles: 60.00 60.00 60.00
Element x y z (fractional)
1 Sc 0.250 0.250 0.250
2 Sc 0.750 0.750 0.750
3 Tl 0.500 0.500 0.500
4 S 0.000 0.000 0.000



[16]
First-principles (PBE) data for a relaxed structure of Sc3TlS, as listed in Alexandria.

Properties
- formation energy (no corrections) (eV per atom) = -0.85
- volume (Å³/atom) = 22.2

abc: 6.361 6.766 6.765
angles: 93.86 118.03 61.95
Element x y z (fractional)
1 Sc 0.163 0.314 0.954
2 Sc 0.568 0.471 0.420
3 Sc 0.759 0.780 0.111
4 Sc 0.163 0.937 0.576
5 Sc 0.664 0.937 0.577
6 Sc 0.663 0.315 0.954
7 S 0.663 0.626 0.765
8 S 0.663 0.126 0.265
9 Tl 0.141 0.398 0.493
10 Tl 0.186 0.853 0.038



[17]
First-principles (PBE) data for a relaxed structure of Sc3TlS, as listed in Alexandria.

Properties
- formation energy (no corrections) (eV per atom) = -0.41
- volume (Å³/atom) = 26.9

abc: 5.447 5.447 9.842
angles: 73.94 73.94 90.00
Element x y z (fractional)
1 Sc 0.127 0.881 0.238
2 Sc 0.119 0.873 0.762
3 Sc 0.119 0.365 0.762
4 Sc 0.635 0.881 0.238
5 Sc 0.279 0.279 0.443
6 Sc 0.721 0.721 0.557
7 Tl 0.656 0.156 0.687
8 Tl 0.844 0.344 0.313
9 S 0.000 0.000 0.000
10 S 0.250 0.750 0.500



[18]
First-principles (PBE) data for a relaxed structure of Sc3TlS, as listed in Alexandria.

Properties
- formation energy (no corrections) (eV per atom) = -0.53
- volume (Å³/atom) = 25.5

abc: 21.301 8.595 8.595
angles: 155.78 153.90 26.10
Element x y z (fractional)
1 Sc 0.825 0.238 0.762
2 Sc 0.175 0.762 0.238
3 Sc 0.086 0.217 0.783
4 Sc 0.914 0.783 0.217
5 Sc 0.441 0.740 0.260
6 Sc 0.559 0.260 0.740
7 Tl 0.814 0.080 0.920
8 Tl 0.186 0.920 0.080
9 S 0.650 0.005 0.995
10 S 0.350 0.995 0.005



[19]
First-principles (PBE) data for a relaxed structure of Sc3TlS, as listed in Alexandria.

Properties
- formation energy (no corrections) (eV per atom) = -0.83
- volume (Å³/atom) = 22.4

abc: 24.555 6.206 9.728
angles: 90.00 162.40 90.00
Element x y z (fractional)
1 Sc 0.284 0.908 0.907
2 Sc 0.716 0.092 0.093
3 Sc 0.216 0.408 0.593
4 Sc 0.784 0.592 0.407
5 Sc 0.332 0.434 0.202
6 Sc 0.668 0.566 0.798
7 Sc 0.168 0.934 0.298
8 Sc 0.832 0.066 0.702
9 Sc 0.416 0.860 0.628
10 Sc 0.584 0.140 0.372
11 Sc 0.084 0.360 0.872
12 Sc 0.916 0.640 0.128
13 Tl 0.993 0.174 0.363
14 Tl 0.007 0.826 0.637
15 Tl 0.507 0.674 0.137
16 Tl 0.493 0.326 0.863
17 S 0.522 0.763 0.644
18 S 0.478 0.237 0.356
19 S 0.978 0.263 0.856
20 S 0.022 0.737 0.144



[20]
First-principles (PBE) data for a relaxed structure of ScTl3S3, as listed in Alexandria.

Properties
- formation energy (no corrections) (eV per atom) = -0.94
- volume (Å³/atom) = 27.6

abc: 3.898 8.592 11.563
angles: 88.00 90.00 90.00
Element x y z (fractional)
1 Sc 0.250 0.888 0.386
2 Sc 0.750 0.112 0.614
3 Tl 0.250 0.383 0.361
4 Tl 0.750 0.617 0.639
5 Tl 0.250 0.852 0.874
6 Tl 0.750 0.148 0.126
7 Tl 0.250 0.344 0.860
8 Tl 0.750 0.656 0.140
9 S 0.250 0.318 0.608
10 S 0.750 0.682 0.392
11 S 0.250 0.906 0.610
12 S 0.750 0.094 0.390
13 S 0.250 0.903 0.160
14 S 0.750 0.097 0.840